[1]
TiFe2Re2: optimized geometry, PBE.

Values from the calculation:
E above lowest polymorph (meV per atom): 82.4
Total DFT energy (no corrections) (eV/cell): -98.44
DOS at the Fermi energy (states/eV/atom): 1.471
Energy of formation (eV/f.u.): 0.496
Volume (Å³ per atom): 13.9
Magnetization (μB per atom): 0.00

```
data_TiFe2Re2
_symmetry_space_group_name_H-M 'P 4/m b m'
_symmetry_Int_Tables_number 127
_symmetry_space_group_name_Hall '-P 4 2ab'
_cell_length_a 7.279
_cell_length_b 7.279
_cell_length_c 2.629
_cell_angle_alpha 90.00
_cell_angle_beta 90.00
_cell_angle_gamma 90.00
loop_
_atom_site_label
_atom_site_type_symbol
_atom_site_fract_x
_atom_site_fract_y
_atom_site_fract_z
_atom_site_occupancy
Ti1 Ti 0.000 0.000 0.000 1
Fe1 Fe 0.171 0.329 0.500 1
Re1 Re 0.127 0.627 0.000 1
```

[2]
SmCuSn: optimized geometry, PBE.

Values from the calculation:
Total DFT energy (no corrections) (eV/cell): -29.25
DOS at the Fermi energy (states/eV/atom): 0.086
Energy of formation (eV/f.u.): -1.809
Volume (Å³ per atom): 22.8
Magnetization (μB per atom): 0.00

```
data_SmCuSn
_symmetry_space_group_name_H-M 'P 63 m c'
_symmetry_Int_Tables_number 186
_symmetry_space_group_name_Hall 'P 6c -2c'
_cell_length_a 4.5935
_cell_length_b 4.5935
_cell_length_c 7.4833
_cell_angle_alpha 90.00
_cell_angle_beta 90.00
_cell_angle_gamma 120.00
loop_
_atom_site_label
_atom_site_type_symbol
_atom_site_fract_x
_atom_site_fract_y
_atom_site_fract_z
_atom_site_occupancy
Sm1 Sm 0.0000 0.0000 0.0000 1
Cu1 Cu 0.3333 0.6667 0.3137 1
Sn1 Sn 0.3333 0.6667 0.7312 1
```